Entry 1:
Entry from Alexandria via LeMat-Bulk: Li2CCl after structural relaxation (PBE).

```
Li2CCl
1.0
-2.6658 2.6658 5.4481
2.6658 -2.6658 5.4481
2.6658 2.6658 -5.4481
Li C Cl
4 2 2
Direct
0.1055 0.6250 0.9805 Li
0.3750 0.3555 0.4805 Li
0.6445 0.1250 0.0195 Li
0.8750 0.8945 0.5195 Li
0.0000 0.0000 0.0000 C
0.7500 0.2500 0.5000 C
0.2500 0.7500 0.5000 Cl
0.5000 0.5000 0.0000 Cl
```

Calculated values
E above lowest polymorph = 0 meV per atom
formation energy from raw total energies = 0.29 eV/atom
space group = I-42d (122)
total DFT energy (no corrections) = -3.43 eV/atom


Entry 2:
Entry from Alexandria via LeMat-Bulk: KSrMo after structural relaxation (PBE).

```
KSrMo
1.0
0.0000 4.1608 4.1608
4.1608 0.0000 4.1608
4.1608 4.1608 0.0000
K Sr Mo
1 1 1
Direct
0.0000 0.0000 0.0000 K
0.5000 0.5000 0.5000 Sr
0.2500 0.2500 0.2500 Mo
```

Calculated values
formation energy from the elements = 1.51 eV/atom
E above lowest polymorph = 261 meV per atom
space group = F-43m (216)
total DFT energy (no corrections) = -3.03 eV/atom


Entry 3:
Entry from Alexandria via LeMat-Bulk: Mn2CuRh after structural relaxation (PBE).

```
Mn2CuRh
1.0
2.5885 0.0000 0.0000
0.0000 3.7275 0.0000
0.0000 0.0000 4.9912
Mn Cu Rh
2 1 1
Direct
0.0000 0.0000 0.2186 Mn
0.0000 0.0000 0.7814 Mn
0.5000 0.5000 0.0000 Cu
0.5000 0.5000 0.5000 Rh
```

Calculated values
formation energy from the elements = 0.18 eV/atom
space group = Pmmm (47)
total DFT energy (no corrections) = -7.26 eV/atom


Entry 4:
Entry from Alexandria via LeMat-Bulk: NaPu5Bi6 after structural relaxation (PBE).

```
NaPu5Bi6
1.0
8.0939 -4.1823 0.0000
8.0939 4.1823 0.0000
-0.8573 0.0000 5.2133
Na Pu Bi
1 5 6
Direct
0.0000 0.0000 0.0000 Na
0.1622 0.1622 0.6468 Pu
0.3422 0.3422 0.3344 Pu
0.5000 0.5000 0.0000 Pu
0.6578 0.6578 0.6656 Pu
0.8378 0.8378 0.3532 Pu
0.0806 0.5800 0.8379 Bi
0.2477 0.7523 0.5000 Bi
0.4200 0.9194 0.1621 Bi
0.5800 0.0806 0.8379 Bi
0.7523 0.2477 0.5000 Bi
0.9194 0.4200 0.1621 Bi
```

Calculated values
formation energy from the elements = -0.30 eV/atom
space group = C2/m (12)
total DFT energy (no corrections) = -8.32 eV/atom


Which of these has the lowest total DFT energy (no corrections)? NaPu5Bi6


Among the records above, which one has the highest total DFT energy (no corrections)? KSrMo


Which value of total DFT energy (no corrections) does entry 2 give? -3.03 eV/atom


Which formula does entry 1 have? Li2CCl